# CsHfAl | Alexandria | PBE-GGA | relaxed
data_CsHfAl
_symmetry_space_group_name_H-M 'P 1'
_symmetry_Int_Tables_number 1
_cell_length_a 9.635
_cell_length_b 4.268
_cell_length_c 11.620
_cell_angle_alpha 90.00
_cell_angle_beta 90.00
_cell_angle_gamma 90.00
loop_
_symmetry_equiv_pos_as_xyz
'x,y,z'
loop_
_atom_site_label
_atom_site_type_symbol
_atom_site_fract_x
_atom_site_fract_y
_atom_site_fract_z
_atom_site_occupancy
Cs1 Cs 0.032 0.250 0.165 1
Cs2 Cs 0.468 0.750 0.665 1
Cs3 Cs 0.532 0.250 0.335 1
Cs4 Cs 0.968 0.750 0.835 1
Hf1 Hf 0.086 0.250 0.542 1
Hf2 Hf 0.414 0.750 0.042 1
Hf3 Hf 0.586 0.250 0.958 1
Hf4 Hf 0.914 0.750 0.458 1
Al1 Al 0.189 0.750 0.402 1
Al2 Al 0.311 0.250 0.902 1
Al3 Al 0.689 0.750 0.098 1
Al4 Al 0.811 0.250 0.598 1
# polymorph energy (0 for the lowest one)	12.64	kcal/mol of atoms

***

# TbEr2Ir3 | Alexandria | PBE-GGA | relaxed
data_TbEr2Ir3
_symmetry_space_group_name_H-M 'P 1'
_symmetry_Int_Tables_number 1
_cell_length_a 4.827
_cell_length_b 4.827
_cell_length_c 5.910
_cell_angle_alpha 90.00
_cell_angle_beta 90.00
_cell_angle_gamma 120.00
loop_
_symmetry_equiv_pos_as_xyz
'x,y,z'
loop_
_atom_site_label
_atom_site_type_symbol
_atom_site_fract_x
_atom_site_fract_y
_atom_site_fract_z
_atom_site_occupancy
Tb1 Tb 0.000 0.000 0.000 1
Er1 Er 0.333 0.667 0.666 1
Er2 Er 0.667 0.333 0.334 1
Ir1 Ir 0.000 0.000 0.500 1
Ir2 Ir 0.333 0.667 0.169 1
Ir3 Ir 0.667 0.333 0.831 1
# DFT total energy	-7.57	eV/atom

***

# LaMnCSe2 | Alexandria | PBE-GGA | relaxed
data_LaMnCSe2
_symmetry_space_group_name_H-M 'P 1'
_symmetry_Int_Tables_number 1
_cell_length_a 4.879
_cell_length_b 4.879
_cell_length_c 3.764
_cell_angle_alpha 90.00
_cell_angle_beta 90.00
_cell_angle_gamma 90.00
loop_
_symmetry_equiv_pos_as_xyz
'x,y,z'
loop_
_atom_site_label
_atom_site_type_symbol
_atom_site_fract_x
_atom_site_fract_y
_atom_site_fract_z
_atom_site_occupancy
La1 La 0.000 0.000 0.000 1
Mn1 Mn 0.500 0.500 0.000 1
C1 C 0.500 0.500 0.500 1
Se1 Se 0.000 0.500 0.500 1
Se2 Se 0.500 0.000 0.500 1
# E_form (uncorrected)	-12	meV/atom

***

# NaAgPbCl4 | Alexandria | PBE-GGA | relaxed
data_NaAgPbCl4
_symmetry_space_group_name_H-M 'P 1'
_symmetry_Int_Tables_number 1
_cell_length_a 8.291
_cell_length_b 8.291
_cell_length_c 8.291
_cell_angle_alpha 121.04
_cell_angle_beta 118.46
_cell_angle_gamma 90.45
loop_
_symmetry_equiv_pos_as_xyz
'x,y,z'
loop_
_atom_site_label
_atom_site_type_symbol
_atom_site_fract_x
_atom_site_fract_y
_atom_site_fract_z
_atom_site_occupancy
Na1 Na 0.500 0.000 0.000 1
Na2 Na 0.500 0.500 0.500 1
Ag1 Ag 0.104 0.354 0.750 1
Ag2 Ag 0.896 0.646 0.250 1
Pb1 Pb 0.000 0.000 0.000 1
Pb2 Pb 0.500 0.000 0.500 1
Cl1 Cl 0.254 0.251 0.497 1
Cl2 Cl 0.254 0.756 0.003 1
Cl3 Cl 0.265 0.247 0.018 1
Cl4 Cl 0.270 0.753 0.518 1
Cl5 Cl 0.730 0.247 0.482 1
Cl6 Cl 0.735 0.753 0.982 1
Cl7 Cl 0.746 0.244 0.997 1
Cl8 Cl 0.746 0.749 0.503 1
# E_form (uncorrected)	-1136	meV/atom

***

# Hf3CdAu | Alexandria | PBE-GGA | relaxed
data_Hf3CdAu
_symmetry_space_group_name_H-M 'P 1'
_symmetry_Int_Tables_number 1
_cell_length_a 5.125
_cell_length_b 5.125
_cell_length_c 5.125
_cell_angle_alpha 90.00
_cell_angle_beta 90.00
_cell_angle_gamma 90.00
loop_
_symmetry_equiv_pos_as_xyz
'x,y,z'
loop_
_atom_site_label
_atom_site_type_symbol
_atom_site_fract_x
_atom_site_fract_y
_atom_site_fract_z
_atom_site_occupancy
Hf1 Hf 0.000 0.000 0.500 1
Hf2 Hf 0.000 0.500 0.000 1
Hf3 Hf 0.500 0.000 0.000 1
Cd1 Cd 0.500 0.500 0.500 1
Au1 Au 0.000 0.000 0.000 1
# polymorph energy (0 for the lowest one)	0.00	kcal/mol of atoms

***

# LaTaBiAs2 | Alexandria | PBE-GGA | relaxed
data_LaTaBiAs2
_symmetry_space_group_name_H-M 'P 1'
_symmetry_Int_Tables_number 1
_cell_length_a 4.982
_cell_length_b 4.982
_cell_length_c 5.769
_cell_angle_alpha 90.00
_cell_angle_beta 90.00
_cell_angle_gamma 90.00
loop_
_symmetry_equiv_pos_as_xyz
'x,y,z'
loop_
_atom_site_label
_atom_site_type_symbol
_atom_site_fract_x
_atom_site_fract_y
_atom_site_fract_z
_atom_site_occupancy
La1 La 0.000 0.000 0.000 1
Ta1 Ta 0.000 0.000 0.500 1
Bi1 Bi 0.500 0.500 0.000 1
As1 As 0.000 0.500 0.500 1
As2 As 0.500 0.000 0.500 1
# DFT total energy	-5.94	eV/atom